No. 1
VASP calculation (GGA-PBE) on a relaxed structure of Hg5SbPb6.

Geometry as POSCAR:
```
Hg5SbPb6
1.0
6.313 1.139 -1.020
-2.263 6.916 -1.312
0.139 1.286 7.280
Hg Pb Sb
5 6 1
Cartesian
2.094 4.671 2.474
1.289 6.559 -0.408
2.900 2.782 5.357
-1.466 5.048 1.538
-0.658 3.154 4.430
0.686 3.258 -0.208
4.196 2.924 0.742
2.705 7.953 2.303
1.484 1.389 2.646
3.503 6.083 5.156
-0.007 6.418 4.207
0.000 0.000 0.000
```

The calculation puts the uncorrected formation energy at 3.4 kJ/mol of atoms. As for the final energy: -2.288 eV/atom.

=====

No. 2
VASP calculation (GGA-PBE) on a relaxed structure of HgSbPb2.

Geometry as POSCAR:
```
HgSbPb2
1.0
3.985 0.000 0.000
0.000 3.989 0.000
0.000 0.000 7.451
Pb Sb Hg
2 1 1
Cartesian
0.000 0.000 0.094
0.000 0.000 3.631
1.993 1.995 1.863
1.993 1.995 5.589
```

The calculation puts the uncorrected formation energy at 2.0 kJ/mol of atoms. As for the final energy: -2.940 eV/atom.

=====

No. 3
VASP calculation (GGA-PBE) on a relaxed structure of Hg2SbPb4.

Geometry as POSCAR:
```
Hg2SbPb4
1.0
5.272 0.000 0.000
2.636 4.566 0.000
2.636 1.522 9.273
Pb Sb Hg
4 1 2
Cartesian
5.272 3.044 7.987
7.908 4.566 3.339
5.272 3.044 1.286
2.636 1.522 5.933
0.000 0.000 0.000
7.908 4.566 6.564
2.636 1.522 2.709
```

The calculation puts the uncorrected formation energy at 7.8 kJ/mol of atoms. As for the final energy: -2.713 eV/atom.

=====

No. 4
VASP calculation (GGA-PBE) on a relaxed structure of Hg4Sb2Pb3.

Geometry as POSCAR:
```
Hg4Sb2Pb3
1.0
4.612 0.000 0.987
2.411 6.832 0.001
0.482 -2.374 9.013
Hg Pb Sb
4 3 2
Cartesian
1.792 2.431 2.892
4.474 3.131 1.629
5.713 2.027 7.108
3.031 1.327 8.372
3.732 4.120 5.096
3.773 0.339 4.905
0.000 0.000 0.000
4.262 6.027 2.618
3.243 -1.569 7.382
```

The calculation puts the uncorrected formation energy at 2.2 kJ/mol of atoms. As for the final energy: -2.264 eV/atom.

=====

No. 5
VASP calculation (GGA-PBE) on a relaxed structure of Hg2Sb3Pb5.

Geometry as POSCAR:
```
Hg2Sb3Pb5
1.0
4.536 -0.002 -0.773
-0.003 8.609 0.000
0.474 0.001 16.486
Pb Hg Sb
10 4 6
Cartesian
1.685 0.181 9.888
2.136 2.795 12.542
4.798 0.637 14.465
2.873 7.098 3.172
3.373 0.533 6.107
4.323 6.051 11.694
3.326 4.484 5.825
0.684 1.747 4.021
1.634 4.838 9.607
0.212 4.942 1.249
2.390 1.798 0.346
3.985 2.506 9.697
2.614 6.103 15.369
1.023 6.811 6.018
3.755 6.881 8.353
2.808 3.794 2.785
1.253 2.577 7.361
0.306 8.092 1.799
2.200 8.099 12.929
4.705 3.787 13.914
```

The calculation puts the uncorrected formation energy at 2.8 kJ/mol of atoms. As for the final energy: -3.122 eV/atom.

=====

No. 6
VASP calculation (GGA-PBE) on a relaxed structure of Hg2Sb4Pb5.

Geometry as POSCAR:
```
Hg2Sb4Pb5
1.0
4.423 0.000 -1.290
-0.739 8.738 -2.532
0.451 -2.472 9.774
Hg Sb Pb
2 4 5
Cartesian
1.846 2.168 6.331
2.289 4.098 -0.379
0.038 2.256 0.132
4.097 4.009 5.821
1.021 6.461 3.501
3.114 -0.196 2.452
0.891 1.853 3.054
2.211 0.000 -0.645
3.244 4.413 2.898
0.132 6.271 0.454
4.003 -0.006 5.498
```

The calculation puts the uncorrected formation energy at 3.8 kJ/mol of atoms. As for the final energy: -3.200 eV/atom.